Compound: Pu3Ga7Ag2
Source: Alexandria via LeMat-Bulk
Functional: PBE-GGA
Structure: optimized geometry

Properties
Crystal system   trigonal
Energy of formation   -276 meV per atom

```
data_Pu3Ga7Ag2
_space_group_name_H-M_alt 'R -3 m'
_space_group_IT_number 166
_space_group_name_Hall '-R 3 2"'
_cell_length_a 5.5344
_cell_length_b 5.5344
_cell_length_c 26.6853
_cell_angle_alpha 90.00
_cell_angle_beta 90.00
_cell_angle_gamma 120.00
loop_
_atom_site_label
_atom_site_type_symbol
_atom_site_fract_x
_atom_site_fract_y
_atom_site_fract_z
_atom_site_occupancy
Pu1 Pu 0.0000 0.0000 0.0000 1
Pu2 Pu 0.0000 0.0000 0.1439 1
Ga1 Ga 0.0000 0.0000 0.5000 1
Ga2 Ga 0.0108 0.5054 0.9156 1
Ag1 Ag 0.0000 0.0000 0.3371 1
```

***

Compound: SnIrRh2
Source: Alexandria via LeMat-Bulk
Functional: PBE-GGA
Structure: optimized geometry

Properties
Crystal system   tetragonal
Energy of formation   247 meV per atom

```
data_SnIrRh2
_space_group_name_H-M_alt 'I -4 2 d'
_space_group_IT_number 122
_space_group_name_Hall 'I -4 2bw'
_cell_length_a 3.895
_cell_length_b 3.895
_cell_length_c 18.328
_cell_angle_alpha 90.00
_cell_angle_beta 90.00
_cell_angle_gamma 90.00
loop_
_atom_site_label
_atom_site_type_symbol
_atom_site_fract_x
_atom_site_fract_y
_atom_site_fract_z
_atom_site_occupancy
Sn1 Sn 0.000 0.000 0.000 1
Ir1 Ir 0.000 0.000 0.500 1
Rh1 Rh 0.224 0.250 0.625 1
```

***

Compound: LiScTcBr2
Source: Alexandria via LeMat-Bulk
Functional: PBE-GGA
Structure: optimized geometry

Properties
Crystal system   tetragonal

```
data_LiScTcBr2
_space_group_name_H-M_alt 'P 4/m m m'
_space_group_IT_number 123
_space_group_name_Hall '-P 4 2'
_cell_length_a 4.653
_cell_length_b 4.653
_cell_length_c 5.678
_cell_angle_alpha 90.00
_cell_angle_beta 90.00
_cell_angle_gamma 90.00
loop_
_atom_site_label
_atom_site_type_symbol
_atom_site_fract_x
_atom_site_fract_y
_atom_site_fract_z
_atom_site_occupancy
Li1 Li 0.000 0.000 0.000 1
Sc1 Sc 0.000 0.000 0.500 1
Tc1 Tc 0.500 0.500 0.500 1
Br1 Br 0.000 0.500 0.000 1
```

***

Number 1: final energy -6.100 eV per atom. Number 2: final energy -6.645 eV per atom. Number 3: final energy -3.898 eV per atom.